#A
Compound: Rb3SrB
Source: Alexandria via LeMat-Bulk
Functional: GGA-PBE
Structure: relaxed

Unit cell a=8.266 b=8.266 c=8.266 alpha=90.00 beta=90.00 gamma=90.00
Fractional positions:
Rb1 0.000 0.000 0.500
Rb2 0.000 0.500 0.000
Rb3 0.500 0.000 0.000
Sr1 0.000 0.000 0.000
B1 0.500 0.500 0.500

Calculated values
Symmetry: Pm-3m

***

#B
Compound: Rb3SrB
Source: Alexandria via LeMat-Bulk
Functional: GGA-PBE
Structure: relaxed

Unit cell a=6.680 b=6.680 c=6.680 alpha=90.00 beta=90.00 gamma=90.00
Fractional positions:
Rb1 0.000 0.000 0.500
Rb2 0.000 0.500 0.000
Rb3 0.500 0.000 0.000
Sr1 0.500 0.500 0.500
B1 0.000 0.000 0.000

Calculated values
Symmetry: Pm-3m

***

Winner for stability: #B

***

#A
Compound: RbTa3B
Source: Alexandria via LeMat-Bulk
Functional: GGA-PBE
Structure: relaxed

Unit cell a=4.743 b=4.743 c=4.743 alpha=90.00 beta=90.00 gamma=90.00
Fractional positions:
Rb1 0.000 0.000 0.000
Ta1 0.000 0.000 0.500
Ta2 0.000 0.500 0.000
Ta3 0.500 0.000 0.000
B1 0.500 0.500 0.500

Calculated values
Symmetry: Pm-3m

***

#B
Compound: RbTa3B
Source: Alexandria via LeMat-Bulk
Functional: GGA-PBE
Structure: relaxed

Unit cell a=4.607 b=4.607 c=4.607 alpha=90.00 beta=90.00 gamma=90.00
Fractional positions:
Rb1 0.000 0.000 0.000
Ta1 0.000 0.500 0.500
Ta2 0.500 0.000 0.500
Ta3 0.500 0.500 0.000
B1 0.500 0.500 0.500

Calculated values
Symmetry: Pm-3m

***

Winner for stability: #B

***

#A
Compound: RbTaB2
Source: Alexandria via LeMat-Bulk
Functional: GGA-PBE
Structure: relaxed

Unit cell a=4.476 b=4.476 c=4.476 alpha=60.00 beta=60.00 gamma=60.00
Fractional positions:
Rb1 0.000 0.000 0.000
Ta1 0.500 0.500 0.500
B1 0.250 0.250 0.250
B2 0.750 0.750 0.750

Calculated values
Symmetry: Fm-3m

***

#B
Compound: RbTaB2
Source: Alexandria via LeMat-Bulk
Functional: GGA-PBE
Structure: relaxed

Unit cell a=6.526 b=6.526 c=6.526 alpha=116.56 beta=116.56 gamma=96.08
Fractional positions:
Rb1 0.000 0.000 0.000
Rb2 0.750 0.250 0.500
Ta1 0.250 0.750 0.500
Ta2 0.500 0.500 0.000
B1 0.270 0.625 0.145
B2 0.375 0.520 0.645
B3 0.480 0.125 0.855
B4 0.875 0.730 0.355

Calculated values
Symmetry: I-42d

***

Winner for stability: #B

***

#A
Compound: RbTcB3
Source: Alexandria via LeMat-Bulk
Functional: GGA-PBE
Structure: relaxed

Unit cell a=4.291 b=4.291 c=4.291 alpha=90.00 beta=90.00 gamma=90.00
Fractional positions:
Rb1 0.000 0.000 0.000
Tc1 0.500 0.500 0.500
B1 0.000 0.500 0.500
B2 0.500 0.000 0.500
B3 0.500 0.500 0.000

Calculated values
Symmetry: Pm-3m

***

#B
Compound: RbTcB3
Source: Alexandria via LeMat-Bulk
Functional: GGA-PBE
Structure: relaxed

Unit cell a=4.255 b=4.255 c=4.255 alpha=90.00 beta=90.00 gamma=90.00
Fractional positions:
Rb1 0.000 0.000 0.000
Tc1 0.500 0.500 0.500
B1 0.000 0.000 0.500
B2 0.000 0.500 0.000
B3 0.500 0.000 0.000

Calculated values
Symmetry: Pm-3m

***

Winner for stability: #A

***

#A
Compound: RbTc2B2
Source: Alexandria via LeMat-Bulk
Functional: GGA-PBE
Structure: relaxed

Unit cell a=7.492 b=7.492 c=2.881 alpha=90.00 beta=90.00 gamma=90.00
Fractional positions:
Rb1 0.000 0.000 0.000
Rb2 0.500 0.500 0.000
Tc1 0.124 0.376 0.000
Tc2 0.376 0.876 0.000
Tc3 0.624 0.124 0.000
Tc4 0.876 0.624 0.000
B1 0.095 0.595 0.500
B2 0.405 0.095 0.500
B3 0.595 0.905 0.500
B4 0.905 0.405 0.500

Calculated values
Symmetry: P4/mbm

***

#B
Compound: RbTc2B2
Source: Alexandria via LeMat-Bulk
Functional: GGA-PBE
Structure: relaxed

Unit cell a=7.059 b=7.059 c=7.059 alpha=145.90 beta=145.90 gamma=49.00
Fractional positions:
Rb1 0.000 0.000 0.000
Tc1 0.271 0.271 0.000
Tc2 0.729 0.729 0.000
B1 0.250 0.750 0.500
B2 0.750 0.250 0.500

Calculated values
Symmetry: I4/mmm

***

Winner for stability: #B

***

#A
Compound: Rb2B2Te
Source: Alexandria via LeMat-Bulk
Functional: GGA-PBE
Structure: relaxed

Unit cell a=9.999 b=9.999 c=3.149 alpha=90.00 beta=90.00 gamma=90.00
Fractional positions:
Rb1 0.217 0.283 0.000
Rb2 0.283 0.783 0.000
Rb3 0.717 0.217 0.000
Rb4 0.783 0.717 0.000
B1 0.057 0.557 0.500
B2 0.443 0.057 0.500
B3 0.557 0.943 0.500
B4 0.943 0.443 0.500
Te1 0.000 0.000 0.000
Te2 0.500 0.500 0.000

Calculated values
Symmetry: P4/mbm

***

#B
Compound: Rb2B2Te
Source: Alexandria via LeMat-Bulk
Functional: GGA-PBE
Structure: relaxed

Unit cell a=11.554 b=11.554 c=11.554 alpha=164.06 beta=164.06 gamma=22.62
Fractional positions:
Rb1 0.126 0.126 0.000
Rb2 0.874 0.874 0.000
B1 0.250 0.750 0.500
B2 0.750 0.250 0.500
Te1 0.500 0.500 0.000

Calculated values
Symmetry: I4/mmm

***

Winner for stability: #B

***

#A
Compound: RbTiB
Source: Alexandria via LeMat-Bulk
Functional: GGA-PBE
Structure: relaxed

Unit cell a=3.729 b=3.729 c=12.484 alpha=90.00 beta=90.00 gamma=120.00
Fractional positions:
Rb1 0.000 0.000 0.000
Rb2 0.000 0.000 0.500
Ti1 0.333 0.667 0.250
Ti2 0.333 0.667 0.750
B1 0.667 0.333 0.223
B2 0.667 0.333 0.777

Calculated values
Symmetry: P-6m2

***

#B
Compound: RbTiB
Source: Alexandria via LeMat-Bulk
Functional: GGA-PBE
Structure: relaxed

Unit cell a=4.815 b=4.815 c=5.590 alpha=90.00 beta=90.00 gamma=120.00
Fractional positions:
Rb1 0.000 0.000 0.000
Rb2 0.000 0.000 0.500
Ti1 0.333 0.667 0.130
Ti2 0.667 0.333 0.630
B1 0.333 0.667 0.722
B2 0.667 0.333 0.222

Calculated values
Symmetry: P6_3mc

***

Winner for stability: #A

***

#A
Compound: RbTiB
Source: Alexandria via LeMat-Bulk
Functional: GGA-PBE
Structure: relaxed

Unit cell a=4.284 b=4.284 c=11.333 alpha=85.72 beta=85.51 gamma=74.62
Fractional positions:
Rb1 0.000 0.000 0.000
Rb2 0.420 0.411 0.420
Ti1 0.069 0.063 0.704
Ti2 0.654 0.648 0.713
B1 0.191 0.509 0.759
B2 0.514 0.186 0.759

Calculated values
Symmetry: P1

***

#B
Compound: RbTiB
Source: Alexandria via LeMat-Bulk
Functional: GGA-PBE
Structure: relaxed

Unit cell a=10.877 b=3.827 c=8.437 alpha=90.00 beta=90.00 gamma=90.00
Fractional positions:
Rb1 0.178 0.250 0.017
Rb2 0.322 0.750 0.517
Rb3 0.678 0.250 0.483
Rb4 0.822 0.750 0.983
Ti1 0.010 0.250 0.393
Ti2 0.490 0.750 0.893
Ti3 0.510 0.250 0.107
Ti4 0.990 0.750 0.607
B1 0.061 0.250 0.668
B2 0.439 0.750 0.168
B3 0.561 0.250 0.832
B4 0.939 0.750 0.332

Calculated values
Symmetry: Pnma

***

#C
Compound: RbTiB
Source: Alexandria via LeMat-Bulk
Functional: GGA-PBE
Structure: relaxed

Unit cell a=3.194 b=4.520 c=11.901 alpha=85.63 beta=88.38 gamma=89.98
Fractional positions:
Rb1 0.000 0.000 0.000
Rb2 0.422 0.572 0.611
Ti1 0.458 0.441 0.251
Ti2 0.948 0.879 0.345
B1 0.442 0.174 0.406
B2 0.944 0.348 0.385

Calculated values
Symmetry: P1

***

#D
Compound: RbTiB
Source: Alexandria via LeMat-Bulk
Functional: GGA-PBE
Structure: relaxed

Unit cell a=4.571 b=4.571 c=4.571 alpha=60.00 beta=60.00 gamma=60.00
Fractional positions:
Rb1 0.000 0.000 0.000
Ti1 0.500 0.500 0.500
B1 0.250 0.250 0.250

Calculated values
Symmetry: F-43m

***

Winner for stability: #A

***

#A
Compound: RbTi2B
Source: Alexandria via LeMat-Bulk
Functional: GGA-PBE
Structure: relaxed

Unit cell a=4.482 b=4.482 c=4.482 alpha=60.00 beta=60.00 gamma=60.00
Fractional positions:
Rb1 0.000 0.000 0.000
Ti1 0.250 0.250 0.250
Ti2 0.750 0.750 0.750
B1 0.500 0.500 0.500

Calculated values
Symmetry: Fm-3m

***

#B
Compound: RbTi2B
Source: Alexandria via LeMat-Bulk
Functional: GGA-PBE
Structure: relaxed

Unit cell a=6.876 b=6.876 c=6.876 alpha=120.05 beta=120.05 gamma=89.91
Fractional positions:
Rb1 0.375 0.625 0.750
Rb2 0.625 0.375 0.250
Ti1 0.000 0.000 0.000
Ti2 0.000 0.000 0.500
Ti3 0.000 0.500 0.000
Ti4 0.500 0.000 0.500
B1 0.125 0.875 0.250
B2 0.875 0.125 0.750

Calculated values
Symmetry: I4_1/amd

***

Winner for stability: #B

***

#A
Compound: Rb2TiB
Source: Alexandria via LeMat-Bulk
Functional: GGA-PBE
Structure: relaxed

Unit cell a=5.771 b=5.771 c=5.771 alpha=60.00 beta=60.00 gamma=60.00
Fractional positions:
Rb1 0.250 0.250 0.250
Rb2 0.750 0.750 0.750
Ti1 0.000 0.000 0.000
B1 0.500 0.500 0.500

Calculated values
Symmetry: Fm-3m

***

#B
Compound: Rb2TiB
Source: Alexandria via LeMat-Bulk
Functional: GGA-PBE
Structure: relaxed

Unit cell a=9.386 b=9.386 c=9.386 alpha=93.11 beta=93.11 gamma=153.08
Fractional positions:
Rb1 0.375 0.185 0.310
Rb2 0.815 0.125 0.190
Rb3 0.875 0.065 0.690
Rb4 0.935 0.625 0.810
Ti1 0.250 0.750 0.500
Ti2 0.500 0.500 0.000
B1 0.000 0.000 0.000
B2 0.750 0.250 0.500

Calculated values
Symmetry: I-42d

***

Winner for stability: #B

***

#A
Compound: Rb2TiB2
Source: Alexandria via LeMat-Bulk
Functional: GGA-PBE
Structure: relaxed

Unit cell a=7.155 b=7.155 c=7.155 alpha=146.33 beta=146.33 gamma=48.36
Fractional positions:
Rb1 0.250 0.750 0.500
Rb2 0.750 0.250 0.500
Ti1 0.000 0.000 0.000
B1 0.440 0.440 0.000
B2 0.560 0.560 0.000

Calculated values
Symmetry: I4/mmm

***

#B
Compound: Rb2TiB2
Source: Alexandria via LeMat-Bulk
Functional: GGA-PBE
Structure: relaxed

Unit cell a=6.551 b=6.551 c=5.875 alpha=90.00 beta=90.00 gamma=90.00
Fractional positions:
Rb1 0.167 0.333 0.000
Rb2 0.333 0.833 0.000
Rb3 0.667 0.167 0.000
Rb4 0.833 0.667 0.000
Ti1 0.000 0.000 0.500
Ti2 0.500 0.500 0.500
B1 0.225 0.725 0.500
B2 0.275 0.225 0.500
B3 0.725 0.775 0.500
B4 0.775 0.275 0.500

Calculated values
Symmetry: P4/mbm

***

Winner for stability: #B

***

#A
Compound: Rb2TlB
Source: Alexandria via LeMat-Bulk
Functional: GGA-PBE
Structure: relaxed

Unit cell a=9.667 b=9.667 c=9.667 alpha=92.77 beta=92.77 gamma=154.62
Fractional positions:
Rb1 0.375 0.073 0.198
Rb2 0.823 0.625 0.698
Rb3 0.875 0.177 0.802
Rb4 0.927 0.125 0.302
Tl1 0.250 0.750 0.500
Tl2 0.500 0.500 0.000
B1 0.000 0.000 0.000
B2 0.750 0.250 0.500

Calculated values
Symmetry: I-42d

***

#B
Compound: Rb2TlB
Source: Alexandria via LeMat-Bulk
Functional: GGA-PBE
Structure: relaxed

Unit cell a=5.952 b=5.952 c=5.952 alpha=60.00 beta=60.00 gamma=60.00
Fractional positions:
Rb1 0.250 0.250 0.250
Rb2 0.750 0.750 0.750
Tl1 0.000 0.000 0.000
B1 0.500 0.500 0.500

Calculated values
Symmetry: Fm-3m

***

Winner for stability: #A